DFT (SCAN) results for a PBEsol-optimized structure of LaScZnTe2.

Structure (POSCAR):
```
LaScZnTe2
1.0
5.421 0.000 0.000
0.000 5.421 0.000
0.000 0.000 5.499
La Sc Zn Te
1 1 1 2
Cartesian
0.000 0.000 0.000
0.000 0.000 2.750
2.710 2.710 0.000
0.000 2.710 2.750
2.710 0.000 2.750
```

Properties
The total magnetization is 0.00 μB per formula unit. As for the energy: -29.179 eV per atom. The value obtained for the density of states at the Fermi level is 3.16 states/eV per cell. Its symmetry is No. 123. As for the formation energy (no corrections): -0.5 eV per formula unit.

DFT (SCAN) results for a PBEsol-optimized structure of La2ScTl.

Structure (POSCAR):
```
La2ScTl
1.0
7.572 0.000 0.000
0.000 7.572 0.000
0.000 0.000 7.572
La Sc Tl
8 4 4
Cartesian
0.000 0.000 0.000
0.000 3.786 3.786
1.893 1.893 1.893
1.893 5.679 5.679
3.786 0.000 3.786
3.786 3.786 0.000
5.679 1.893 5.679
5.679 5.679 1.893
0.000 0.000 3.786
0.000 3.786 0.000
3.786 0.000 0.000
3.786 3.786 3.786
1.893 1.893 5.679
1.893 5.679 1.893
5.679 1.893 1.893
5.679 5.679 5.679
```

Properties
The total magnetization is 3.21 μB per formula unit. As for the energy: -43.402 eV per atom. As for the calculated formation energy: -200 meV per atom. The value obtained for the density of states at the Fermi level is 14.82 states/eV per cell. Its symmetry is No. 216. The calculation puts the energy relative to the lowest polymorph listed for this composition at 0.1069 eV/atom.

DFT (SCAN) results for a PBEsol-optimized structure of La2ScTl.

Structure (POSCAR):
```
La2ScTl
1.0
4.772 0.000 0.000
0.000 4.772 0.000
0.000 0.000 9.783
La Sc Tl
4 2 2
Cartesian
0.000 0.000 0.000
0.000 2.386 2.446
2.386 0.000 7.337
2.386 2.386 4.891
0.000 0.000 4.891
2.386 2.386 0.000
0.000 2.386 7.337
2.386 0.000 2.446
```

Properties
The total magnetization is 0.00 μB per formula unit. As for the energy: -43.483 eV per atom. As for the calculated formation energy: -282 meV per atom. The value obtained for the density of states at the Fermi level is 10.42 states/eV per cell. Its symmetry is No. 119. The calculation puts the energy relative to the lowest polymorph listed for this composition at 0.0256 eV/atom.

DFT (SCAN) results for a PBEsol-optimized structure of La2ScTl.

Structure (POSCAR):
```
La2ScTl
1.0
3.587 0.000 0.000
0.000 3.587 0.000
0.000 0.000 8.716
La Sc Tl
2 1 1
Cartesian
0.000 0.000 0.000
1.793 1.793 2.541
0.000 0.000 4.752
1.793 1.793 6.433
```

Properties
The total magnetization is 0.24 μB per formula unit. As for the energy: -43.463 eV per atom. As for the calculated formation energy: -262 meV per atom. The value obtained for the density of states at the Fermi level is 3.51 states/eV per cell. Its symmetry is No. 99. The calculation puts the energy relative to the lowest polymorph listed for this composition at 0.0455 eV/atom.

DFT (SCAN) results for a PBEsol-optimized structure of LaSc2Tl.

Structure (POSCAR):
```
LaSc2Tl
1.0
3.707 0.000 0.000
0.000 5.388 0.000
0.000 0.000 10.483
La Sc Tl
2 4 2
Cartesian
0.000 0.000 0.000
1.854 2.694 0.000
0.000 0.000 5.263
0.000 2.694 7.687
1.854 0.000 7.687
1.854 2.694 5.263
0.000 2.694 2.802
1.854 0.000 2.802
```

Properties
The total magnetization is 0.00 μB per formula unit. As for the energy: -36.054 eV per atom. As for the calculated formation energy: -69 meV per atom. The value obtained for the density of states at the Fermi level is 9.15 states/eV per cell. Its symmetry is No. 35. The calculation puts the energy relative to the lowest polymorph listed for this composition at 0.1878 eV/atom.

DFT (SCAN) results for a PBEsol-optimized structure of LaSc2Tl.

Structure (POSCAR):
```
LaSc2Tl
1.0
4.572 0.000 0.000
0.000 4.572 0.000
0.000 0.000 9.561
La Sc Tl
2 4 2
Cartesian
0.000 0.000 0.000
2.286 2.286 4.781
0.000 0.000 4.781
0.000 2.286 2.390
2.286 0.000 7.171
2.286 2.286 0.000
0.000 2.286 7.171
2.286 0.000 2.390
```

Properties
The total magnetization is 1.78 μB per formula unit. As for the energy: -36.241 eV per atom. As for the calculated formation energy: -257 meV per atom. The value obtained for the density of states at the Fermi level is 6.60 states/eV per cell. Its symmetry is No. 119. The calculation puts the energy relative to the lowest polymorph listed for this composition at 0.0000 eV/atom.